First-principles (PBE) data for an optimized crystal structure of SrReSe, as listed in the Alexandria database.

Unit cell a=6.2850 b=6.2850 c=6.2850 alpha=149.33 beta=149.33 gamma=43.93
Sites, in units of the cell vectors:
Sr: 0.0000 0.0000 0.0000
Re: 0.7014 0.7014 0.0000
Se: 0.2934 0.2934 0.0000

Calculated values
Its space group is I4mm (107). The value obtained for the energy above the most stable polymorph in this dataset is 0.000 eV/atom. The formation energy without anion corrections comes out at 0.125 eV/atom. Its total energy is -0.2112 hartree per atom. Its magnetization is 0.000 Bohr magnetons per cell.